# BaEr3Co PBE relaxed
data_BaEr3Co
_chemical_formula_sum 'Ba1 Er3 Co1'
_cell_length_a 5.388
_cell_length_b 5.388
_cell_length_c 5.388
_cell_angle_alpha 90.00
_cell_angle_beta 90.00
_cell_angle_gamma 90.00
_space_group_name_H-M_alt 'P m -3 m'
_space_group_IT_number 221
_space_group_name_Hall '-P 4 2 3'
loop_
_atom_site_label
_atom_site_type_symbol
_atom_site_fract_x
_atom_site_fract_y
_atom_site_fract_z
Ba1 Ba 0.000 0.000 0.000
Er1 Er 0.000 0.500 0.500
Co1 Co 0.500 0.500 0.500
# Formation energy = -0.011 eV/atom
# D(E_F) = 6.5 states/eV per cell
# Electronic total energy = -22.77 eV per cell